Entry 1:
Density functional theory data (PBE) for a geometry-optimized Rb2BiTeSe4 structure.

Unit cell a=8.901 b=8.901 c=8.854 alpha=117.55 beta=117.55 gamma=90.00
Fractional positions:
1 Se 0.739 0.710 0.503
2 Se 0.790 0.761 0.997
3 Se 0.238 0.694 0.452
4 Se 0.194 0.738 0.952
5 Te 0.000 0.000 0.000
6 Rb 0.000 0.000 0.500
7 Se 0.210 0.239 0.003
8 Bi 0.000 0.500 0.500
9 Rb 0.500 0.000 0.000
10 Rb 0.500 0.500 0.000
11 Bi 0.000 0.500 0.000
12 Se 0.762 0.306 0.548
13 Rb 0.500 0.000 0.500
14 Te 0.500 0.500 0.500
15 Se 0.806 0.262 0.048
16 Se 0.261 0.290 0.497

Output
- magnetic moment (μB per formula unit) = 0.00
- SG = No. 15

Entry 2:
Density functional theory data (PBE) for a geometry-optimized RbBiTeSe structure.

Unit cell a=4.456 b=4.457 c=8.861 alpha=90.01 beta=104.56 gamma=119.99
Fractional positions:
1 Rb 0.980 0.388 0.383
2 Se 0.501 0.148 0.665
3 Te 0.103 0.950 0.068
4 Bi 0.294 0.545 0.854

Output
- magnetic moment (μB per formula unit) = 0.00
- SG = No. 160

Entry 3:
Density functional theory data (PBE) for a geometry-optimized Rb3ThBi2Se6 structure.

Unit cell a=7.799 b=7.799 c=8.269 alpha=98.78 beta=98.78 gamma=121.39
Fractional positions:
1 Bi 0.665 0.335 0.000
2 Se 0.260 0.260 0.801
3 Se 0.609 0.929 0.802
4 Se 0.391 0.071 0.198
5 Rb 0.827 0.173 0.500
6 Th 0.000 0.000 0.000
7 Rb 0.500 0.500 0.500
8 Se 0.929 0.609 0.802
9 Se 0.071 0.391 0.198
10 Rb 0.173 0.827 0.500
11 Bi 0.335 0.665 0.000
12 Se 0.740 0.740 0.199

Output
- magnetic moment (μB per formula unit) = 0.00
- SG = No. 12

Result set for E_form (uncorrected): -0.583, -0.682, -1.041 eV per atom, one per record in the order listed.